A geometry-optimized Tl2PBr6 structure. Source: Alexandria via LeMat-Bulk, functional GGA-PBE.

Structure (POSCAR):
```
Tl2PBr6
1.0
6.7528 0.0698 0.0404
0.1524 7.2533 -0.0001
0.1524 3.6136 6.2890
Br Tl P
6 2 1
Direct
0.7884 0.1651 0.6801
0.7863 0.1659 0.1659
0.7884 0.6801 0.1651
0.2116 0.8349 0.3199
0.2137 0.8341 0.8341
0.2116 0.3199 0.8349
0.1698 0.3301 0.3301
0.8302 0.6699 0.6699
0.0000 0.0000 0.0000
```

Values from the calculation:
Symmetry ... C2/m (12)
Total magnetic moment ... 0.00 μB/cell
E ... -2.71 eV per atom
Raw formation energy ... -0.4691 eV/atom